Here is a relaxed La3Tc crystal from the Alexandria database. Energies are from PBE-GGA.

Summary:
Crystal system = tetragonal
Space-group type = P4_2/n

Geometry as POSCAR:
```
La3Tc
1.0
12.087 0.000 0.000
0.000 12.087 0.000
0.000 0.000 6.697
La Tc
24 8
Cartesian
0.261 7.267 1.165
1.224 11.826 4.513
1.286 8.192 4.487
1.492 2.250 0.180
2.149 10.800 1.138
2.250 4.551 3.168
3.794 1.492 3.168
3.895 7.329 1.138
4.551 3.794 0.180
4.757 9.938 4.487
4.819 6.304 4.513
5.782 10.862 1.165
6.304 1.224 5.532
7.267 5.782 2.184
7.329 2.149 2.210
7.535 8.293 6.517
8.192 4.757 5.559
8.293 10.595 3.529
9.837 7.535 3.529
9.938 1.286 5.559
10.595 9.837 6.517
10.800 3.895 2.210
10.862 0.261 2.184
11.826 4.819 5.532
0.379 2.484 3.431
2.484 5.664 6.615
3.559 0.379 6.615
5.664 3.559 3.431
6.422 8.527 3.266
8.527 11.708 0.082
9.603 6.422 0.082
11.708 9.603 3.266
```

Here is a relaxed ScPa2NiN5 crystal from the Alexandria database. Energies are from PBE-GGA.

Summary:
Crystal system = orthorhombic
Formation energy (no corrections) = -1.18 eV per atom
Space-group type = Cmc2_1

Geometry as POSCAR:
```
ScPa2NiN5
1.0
1.676 -6.431 0.000
1.676 6.431 0.000
0.000 0.000 10.074
Sc Pa Ni N
2 4 2 10
Cartesian
1.676 3.885 5.037
1.676 -3.885 0.000
1.676 5.090 1.767
1.676 4.586 8.031
1.676 -4.586 2.994
1.676 -5.090 6.804
1.676 0.300 9.573
1.676 -0.300 4.536
1.676 5.819 5.735
1.676 2.838 1.659
1.676 2.239 8.679
1.676 1.678 4.942
1.676 0.190 2.700
1.676 -0.190 7.737
1.676 -1.678 9.979
1.676 -2.239 3.642
1.676 -2.838 6.696
1.676 -5.819 0.698
```

Here is a relaxed BaSb3Au3 crystal from the Alexandria database. Energies are from PBE-GGA.

Summary:
Crystal system = monoclinic
Formation energy (no corrections) = -0.38 eV per atom
Space-group type = P2_1/m

Geometry as POSCAR:
```
BaSb3Au3
1.0
10.515 0.000 0.000
0.000 4.785 0.000
-5.251 0.000 9.127
Ba Sb Au
2 6 6
Cartesian
0.005 1.196 3.039
5.259 3.589 6.088
-3.699 1.196 8.539
-1.341 3.589 5.612
2.904 3.589 2.918
2.360 1.196 6.209
6.605 1.196 3.515
8.963 3.589 0.588
-2.609 1.196 6.039
1.286 3.589 0.722
1.370 3.589 5.308
3.894 1.196 3.819
3.978 1.196 8.405
7.873 3.589 3.088
```

Here is a relaxed PrZn2Au9 crystal from the Alexandria database. Energies are from PBE-GGA.

Summary:
Crystal system = tetragonal
Space-group type = I4_1/amd

Geometry as POSCAR:
```
PrZn2Au9
1.0
-5.664 5.664 3.599
5.664 -5.664 3.599
5.664 5.664 -3.599
Pr Zn Au
2 4 18
Cartesian
5.664 2.832 0.900
0.000 2.832 2.699
0.000 0.000 0.000
2.832 2.832 -1.800
2.832 -2.832 1.800
0.000 5.664 0.000
4.290 -0.624 1.261
7.038 -0.624 1.261
5.664 -2.832 2.699
2.208 1.458 0.539
9.120 1.458 0.539
4.290 5.040 -1.261
1.374 -0.624 2.339
2.208 4.206 0.539
3.456 -1.458 4.138
2.208 7.122 -0.539
3.456 1.458 3.060
4.290 6.288 1.261
1.374 0.624 4.860
-3.456 4.206 3.060
3.456 4.206 3.060
0.000 8.496 0.900
-1.374 6.288 2.339
1.374 6.288 2.339
```

Here is a relaxed LaPm6Nd3Y2 crystal from the Alexandria database. Energies are from PBE-GGA.

Summary:
Crystal system = monoclinic
Space-group type = C2/m

Geometry as POSCAR:
```
LaPm6Nd3Y2
1.0
3.166 -5.483 0.000
3.166 5.483 0.000
-2.117 0.000 11.956
La Pm Nd Y
1 6 3 2
Cartesian
0.000 0.000 0.000
1.055 1.830 2.981
-0.002 0.000 8.974
1.055 -1.830 2.981
3.159 1.830 8.976
4.217 0.000 2.983
3.159 -1.830 8.976
2.107 3.651 5.978
2.107 0.000 5.978
2.107 -3.651 5.978
3.166 1.827 0.000
3.166 -1.827 0.000
```

Here is a relaxed CdRhW crystal from the Alexandria database. Energies are from PBE-GGA.

Summary:
Crystal system = orthorhombic
Space-group type = Fmm2

Geometry as POSCAR:
```
CdRhW
1.0
0.000 2.298 7.050
1.561 0.000 7.050
1.561 2.298 0.000
Cd Rh W
1 1 1
Cartesian
0.000 0.000 0.000
1.561 2.298 4.627
1.561 2.298 9.604
```

| no. | calculated volume (Å³/cell) | VASP energy (eV/atom) | total magnetization (μB/atom) |
| --- | --- | --- | --- |
| 1 | 978.33 | -6.27 | 0.000 |
| 2 | 217.12 | -9.26 | 0.000 |
| 3 | 459.21 | -3.83 | 0.000 |
| 4 | 461.88 | -3.35 | 0.000 |
| 5 | 415.05 | -5.04 | 0.000 |
| 6 | 50.57 | -6.82 | 0.000 |